[1]
# DyCoN PBE relaxed
data_DyCoN
_cell_length_a 9.930
_cell_length_b 3.123
_cell_length_c 5.401
_cell_angle_alpha 90.00
_cell_angle_beta 90.00
_cell_angle_gamma 90.00
_symmetry_space_group_name_H-M 'A m m 2'
_symmetry_Int_Tables_number 38
_symmetry_space_group_name_Hall 'A 2 -2'
loop_
_atom_site_label
_atom_site_type_symbol
_atom_site_fract_x
_atom_site_fract_y
_atom_site_fract_z
Dy1 Dy 0.154 0.000 0.000
Co1 Co 0.387 0.000 0.665
N1 N 0.000 0.000 0.666
N2 N 0.500 0.000 0.997
# magnetic moment: 0.00 μB per formula unit
# calculated total energy: -0.245 hartree per atom
# volume: 13.959 Å³/atom
# energy relative to the elements, uncorrected: 17 meV per atom

[2]
# CeHoPt4 PBE relaxed
data_CeHoPt4
_cell_length_a 7.718
_cell_length_b 7.718
_cell_length_c 7.718
_cell_angle_alpha 90.00
_cell_angle_beta 90.00
_cell_angle_gamma 90.00
_symmetry_space_group_name_H-M 'F -4 3 m'
_symmetry_Int_Tables_number 216
_symmetry_space_group_name_Hall 'F -4 2 3'
loop_
_atom_site_label
_atom_site_type_symbol
_atom_site_fract_x
_atom_site_fract_y
_atom_site_fract_z
Ce1 Ce 0.000 0.000 0.000
Ho1 Ho 0.250 0.250 0.750
Pt1 Pt 0.125 0.125 0.375
# magnetic moment: 0.67 μB per formula unit
# calculated total energy: -0.252 hartree per atom
# volume: 19.158 Å³/atom
# calculated formation energy: -6.444 eV/f.u.

[3]
# Pm2Sm8Zn PBE relaxed
data_Pm2Sm8Zn
_cell_length_a 19.306
_cell_length_b 5.644
_cell_length_c 6.541
_cell_angle_alpha 90.00
_cell_angle_beta 93.21
_cell_angle_gamma 90.00
_symmetry_space_group_name_H-M 'C 1 2/m 1'
_symmetry_Int_Tables_number 12
_symmetry_space_group_name_Hall '-C 2y'
loop_
_atom_site_label
_atom_site_type_symbol
_atom_site_fract_x
_atom_site_fract_y
_atom_site_fract_z
Pm1 Pm 0.238 0.000 0.333
Sm1 Sm 0.040 0.000 0.252
Sm2 Sm 0.078 0.500 0.608
Sm3 Sm 0.154 0.500 0.119
Sm4 Sm 0.156 0.000 0.812
Zn1 Zn 0.000 0.500 0.000
# magnetic moment: 0.00 μB per formula unit
# calculated total energy: -0.163 hartree per atom
# volume: 32.345 Å³/atom
# calculated formation energy: -0.116 eV/f.u.
# energy above the most stable polymorph in this dataset: 0.0 meV/atom

[4]
# In3Ag8Hg2 PBE relaxed
data_In3Ag8Hg2
_cell_length_a 8.714
_cell_length_b 18.469
_cell_length_c 3.565
_cell_angle_alpha 90.00
_cell_angle_beta 90.00
_cell_angle_gamma 90.00
_symmetry_space_group_name_H-M 'C m m m'
_symmetry_Int_Tables_number 65
_symmetry_space_group_name_Hall '-C 2 2'
loop_
_atom_site_label
_atom_site_type_symbol
_atom_site_fract_x
_atom_site_fract_y
_atom_site_fract_z
In1 In 0.000 0.000 0.000
In2 In 0.191 0.500 0.500
Ag1 Ag 0.000 0.125 0.500
Ag2 Ag 0.000 0.373 0.500
Ag3 Ag 0.250 0.130 0.000
Hg1 Hg 0.000 0.250 0.000
# magnetic moment: 0.00 μB per formula unit
# calculated total energy: -0.086 hartree per atom
# volume: 22.069 Å³/atom
# calculated formation energy: 1.194 eV/f.u.
# energy above the most stable polymorph in this dataset: 15.1 meV/atom

[5]
# Ba6Hg5I PBE relaxed
data_Ba6Hg5I
_cell_length_a 8.712
_cell_length_b 14.851
_cell_length_c 8.776
_cell_angle_alpha 90.00
_cell_angle_beta 108.59
_cell_angle_gamma 90.00
_symmetry_space_group_name_H-M 'C 1 2/m 1'
_symmetry_Int_Tables_number 12
_symmetry_space_group_name_Hall '-C 2y'
loop_
_atom_site_label
_atom_site_type_symbol
_atom_site_fract_x
_atom_site_fract_y
_atom_site_fract_z
Ba1 Ba 0.242 0.000 0.250
Ba2 Ba 0.245 0.169 0.744
Hg1 Hg 0.000 0.000 0.500
Hg2 Hg 0.000 0.169 0.000
Hg3 Hg 0.000 0.337 0.500
I1 I 0.000 0.500 0.000
# magnetic moment: 0.00 μB per formula unit
# calculated total energy: -0.065 hartree per atom
# volume: 44.840 Å³/atom
# energy relative to the elements, uncorrected: -552 meV per atom

[6]
# B2MoPPd PBE relaxed
data_B2MoPPd
_cell_length_a 3.914
_cell_length_b 3.914
_cell_length_c 5.260
_cell_angle_alpha 90.00
_cell_angle_beta 90.00
_cell_angle_gamma 90.00
_symmetry_space_group_name_H-M 'P 4/m m m'
_symmetry_Int_Tables_number 123
_symmetry_space_group_name_Hall '-P 4 2'
loop_
_atom_site_label
_atom_site_type_symbol
_atom_site_fract_x
_atom_site_fract_y
_atom_site_fract_z
B1 B 0.000 0.500 0.000
Mo1 Mo 0.000 0.000 0.500
P1 P 0.500 0.500 0.500
Pd1 Pd 0.500 0.500 0.000
# magnetic moment: 3.09 μB per formula unit
# calculated total energy: -0.206 hartree per atom
# volume: 16.112 Å³/atom
# calculated formation energy: 6.801 eV/f.u.

[7]
# CuReMo4 PBE relaxed
data_CuReMo4
_cell_length_a 7.270
_cell_length_b 7.270
_cell_length_c 7.270
_cell_angle_alpha 90.00
_cell_angle_beta 90.00
_cell_angle_gamma 90.00
_symmetry_space_group_name_H-M 'F -4 3 m'
_symmetry_Int_Tables_number 216
_symmetry_space_group_name_Hall 'F -4 2 3'
loop_
_atom_site_label
_atom_site_type_symbol
_atom_site_fract_x
_atom_site_fract_y
_atom_site_fract_z
Cu1 Cu 0.000 0.000 0.000
Re1 Re 0.250 0.250 0.250
Mo1 Mo 0.126 0.126 0.626
# magnetic moment: 0.00 μB per formula unit
# calculated total energy: -0.351 hartree per atom
# volume: 16.011 Å³/atom
# calculated formation energy: 2.632 eV/f.u.

[8]
# PrSm6Tm5 PBE relaxed
data_PrSm6Tm5
_cell_length_a 5.064
_cell_length_b 15.188
_cell_length_c 10.086
_cell_angle_alpha 90.00
_cell_angle_beta 90.00
_cell_angle_gamma 90.00
_symmetry_space_group_name_H-M 'C m m m'
_symmetry_Int_Tables_number 65
_symmetry_space_group_name_Hall '-C 2 2'
loop_
_atom_site_label
_atom_site_type_symbol
_atom_site_fract_x
_atom_site_fract_y
_atom_site_fract_z
Pr1 Pr 0.000 0.000 0.000
Sm1 Sm 0.000 0.167 0.252
Sm2 Sm 0.000 0.500 0.253
Tm1 Tm 0.000 0.000 0.500
Tm2 Tm 0.000 0.332 0.000
Tm3 Tm 0.000 0.333 0.500
# magnetic moment: 0.00 μB per formula unit
# calculated total energy: -0.169 hartree per atom
# volume: 32.322 Å³/atom
# calculated formation energy: 0.259 eV/f.u.